Compound: MnBe2Hg
Source: Alexandria via LeMat-Bulk
Functional: PBE
Structure: relaxed

## Properties
uncorrected energy = -15.459 eV/cell
DOS(E_F) = 0.410 states/eV/atom
ΔH_f (0 K) = 1.46 eV/f.u.

CIF file:
```
data_MnBe2Hg
_chemical_formula_sum 'Mn1 Be2 Hg1'
_cell_length_a 4.592
_cell_length_b 4.592
_cell_length_c 4.295
_cell_angle_alpha 73.92
_cell_angle_beta 73.92
_cell_angle_gamma 36.14
_symmetry_space_group_name_H-M 'P 1'
_symmetry_Int_Tables_number 1
_symmetry_space_group_name_Hall 'P 1'
loop_
_atom_site_label
_atom_site_type_symbol
_atom_site_fract_x
_atom_site_fract_y
_atom_site_fract_z
Mn1 Mn 0.733 0.733 0.811
Hg1 Hg 0.516 0.516 0.458
Be1 Be 0.272 0.272 0.248
Be2 Be 0.979 0.979 0.983
```


Compound: Pm7Nd16Ho6
Source: Alexandria via LeMat-Bulk
Functional: PBE
Structure: relaxed

## Properties
uncorrected energy = -130.571 eV/cell
DOS(E_F) = 1.342 states/eV/atom
ΔH_f (0 K) = 6.44 eV/f.u.

CIF file:
```
data_Pm7Nd16Ho6
_chemical_formula_sum 'Pm7 Nd16 Ho6'
_cell_length_a 11.382
_cell_length_b 11.382
_cell_length_c 11.382
_cell_angle_alpha 60.00
_cell_angle_beta 60.00
_cell_angle_gamma 60.00
_symmetry_space_group_name_H-M 'P 1'
_symmetry_Int_Tables_number 1
_symmetry_space_group_name_Hall 'P 1'
loop_
_atom_site_label
_atom_site_type_symbol
_atom_site_fract_x
_atom_site_fract_y
_atom_site_fract_z
Pm1 Pm 0.000 0.000 0.500
Pm2 Pm 0.000 0.500 0.000
Pm3 Pm 0.500 0.500 0.000
Nd1 Nd 0.875 0.376 0.875
Pm4 Pm 0.000 0.500 0.500
Nd2 Nd 0.049 0.650 0.650
Pm5 Pm 0.500 0.000 0.500
Nd3 Nd 0.650 0.650 0.650
Pm6 Pm 0.000 0.000 0.000
Nd4 Nd 0.125 0.125 0.125
Ho1 Ho 0.736 0.264 0.264
Pm7 Pm 0.500 0.000 0.000
Ho2 Ho 0.264 0.736 0.736
Nd5 Nd 0.650 0.650 0.049
Nd6 Nd 0.951 0.350 0.350
Ho3 Ho 0.736 0.264 0.736
Nd7 Nd 0.125 0.624 0.125
Nd8 Nd 0.875 0.875 0.376
Nd9 Nd 0.125 0.125 0.624
Ho4 Ho 0.264 0.736 0.264
Nd10 Nd 0.875 0.875 0.875
Nd11 Nd 0.624 0.125 0.125
Ho5 Ho 0.264 0.264 0.736
Nd12 Nd 0.376 0.875 0.875
Nd13 Nd 0.350 0.350 0.350
Nd14 Nd 0.350 0.350 0.951
Nd15 Nd 0.650 0.049 0.650
Ho6 Ho 0.736 0.736 0.264
Nd16 Nd 0.350 0.951 0.350
```